Density functional theory data (SCAN) for a crystal of TaAlZn2 relaxed with PBEsol.

abc: 5.0389 2.7296 5.1387
angles: 90.00 119.29 90.00
With the nearest neighbours (Å) after each atom.
Fractional positions:
Ta 0.0000 0.0000 0.0000  2 Ta 2.73, 4 Al 2.86-2.87, 8 Zn 2.91-2.92
Al 0.5000 0.5004 0.0000  4 Zn 2.57, 2 Al 2.73, 4 Ta 2.86-2.87
Zn 0.0000 0.5022 0.5000  4 Zn 2.52-2.73, 2 Al 2.57
Zn 0.5000 0.4972 0.5000  4 Zn 2.52-2.73, 2 Al 2.57

Results
DOS(E_F) = 0.39 states/eV per atom
spin magnetization = 0.00 Bohr magnetons per cell
energy of formation = -0.108 eV/atom